(1)
# LiPr3Ho3Se8 | Alexandria via LeMat-Bulk | PBE | optimized geometry
data_LiPr3Ho3Se8
_chemical_formula_sum 'Li3 Pr9 Ho9 Se24'
_cell_length_a 8.2269
_cell_length_b 8.2269
_cell_length_c 20.4328
_cell_angle_alpha 90.00
_cell_angle_beta 90.00
_cell_angle_gamma 120.00
_space_group_name_H-M_alt 'R -3 m'
_space_group_IT_number 166
_space_group_name_Hall '-R 3 2"'
loop_
_atom_site_label
_atom_site_fract_x
_atom_site_fract_y
_atom_site_fract_z
Li1 0.0000 0.0000 0.0000
Pr1 0.0000 0.5000 0.5000
Ho1 0.0000 0.5000 0.0000
Se1 0.0000 0.0000 0.2553
Se2 0.0012 0.5006 0.2551
# **Formation energy without anion corrections**: -26.947 eV per formula unit
# **Calculated volume**: 1197.66 Å³ per cell
# **DOS(E_F)**: 0.300 states/eV per atom
# **Spin magnetization**: 0.0000 μB/atom
# **VASP energy**: -5.654 eV/atom

=====

(2)
# HgBAsBr2 | Alexandria via LeMat-Bulk | PBE | optimized geometry
data_HgBAsBr2
_chemical_formula_sum 'Hg1 B1 As1 Br2'
_cell_length_a 4.7364
_cell_length_b 4.7364
_cell_length_c 4.7628
_cell_angle_alpha 90.00
_cell_angle_beta 90.00
_cell_angle_gamma 90.00
_space_group_name_H-M_alt 'P 4/m m m'
_space_group_IT_number 123
_space_group_name_Hall '-P 4 2'
loop_
_atom_site_label
_atom_site_fract_x
_atom_site_fract_y
_atom_site_fract_z
Hg1 0.0000 0.0000 0.0000
B1 0.5000 0.5000 0.5000
As1 0.5000 0.5000 0.0000
Br1 0.0000 0.5000 0.5000
# **Energy above the most stable polymorph in this dataset**: 0.000 eV/atom
# **Formation energy without anion corrections**: 3.218 eV per formula unit
# **Calculated volume**: 106.85 Å³ per cell
# **DOS(E_F)**: 0.555 states/eV per atom
# **Spin magnetization**: 0.0000 μB/atom
# **VASP energy**: -2.351 eV/atom